DFT (PBE) results for a relaxed structure of CoOs2Rh.

Geometry as POSCAR:
```
CoOs2Rh
1.0
-1.974 0.850 -4.091
-0.123 -1.038 -4.502
-3.294 -3.241 0.055
Rh Os Co
1 2 1
Direct
0.500 0.500 0.491
0.998 0.998 0.000
0.749 0.749 0.761
0.253 0.253 0.248
```

Computed properties:
Energy of formation from the pure elements: 0.54 eV/f.u.
Total moment: 0.863 μB per formula unit
Energy: -0.3342 Ha/atom
Energy above the lowest structure with this stoichiometry: 0.104 eV/f.u.

DFT (PBE) results for a relaxed structure of CoOs2Rh.

Geometry as POSCAR:
```
CoOs2Rh
1.0
-4.186 -1.130 -3.136
0.312 -3.316 -4.188
0.408 0.935 5.252
Os Rh Co
2 1 1
Direct
0.466 0.466 0.000
0.034 0.034 0.000
0.750 0.250 0.500
0.250 0.750 0.500
```

Computed properties:
Energy of formation from the pure elements: 1.27 eV/f.u.
Total moment: 0.750 μB per formula unit
Energy: -0.3275 Ha/atom
Energy above the lowest structure with this stoichiometry: 0.827 eV/f.u.

DFT (PBE) results for a relaxed structure of Co3OsRh.

Geometry as POSCAR:
```
Co3OsRh
1.0
-1.026 1.837 -3.849
1.858 -3.371 -2.104
-3.839 -2.122 0.010
Co Rh Os
3 1 1
Direct
0.000 0.500 0.000
0.000 0.000 0.500
0.500 0.000 0.000
0.500 0.500 0.500
0.000 0.000 0.000
```

Computed properties:
Energy of formation from the pure elements: 8.14 eV/f.u.
Total moment: 3.370 μB per formula unit
Energy: -0.2334 Ha/atom
Energy above the lowest structure with this stoichiometry: 0.000 eV/f.u.

DFT (PBE) results for a relaxed structure of CoOs2Rh.

Geometry as POSCAR:
```
CoOs2Rh
1.0
2.666 0.000 0.000
-1.266 2.345 0.000
0.000 0.000 8.990
Os Co Rh
2 1 1
Direct
0.000 0.000 0.991
0.500 0.500 0.249
0.500 0.500 0.751
0.000 0.000 0.509
```

Computed properties:
Energy of formation from the pure elements: 1.92 eV/f.u.
Total moment: 2.744 μB per formula unit
Energy: -0.3215 Ha/atom
Energy above the lowest structure with this stoichiometry: 1.484 eV/f.u.

DFT (PBE) results for a relaxed structure of Co2OsRh8.

Geometry as POSCAR:
```
Co2OsRh8
1.0
4.416 0.359 0.299
0.636 6.526 0.932
0.636 2.109 6.246
Rh Co Os
8 2 1
Direct
0.209 0.381 0.765
0.094 0.775 0.775
0.791 0.235 0.619
0.906 0.225 0.225
0.791 0.619 0.235
0.209 0.765 0.381
0.333 0.356 0.356
0.667 0.644 0.644
0.536 0.884 0.884
0.464 0.116 0.116
0.000 0.000 0.000
```

Computed properties:
Energy of formation from the pure elements: 5.39 eV/f.u.
Total moment: 4.528 μB per formula unit
Energy: -0.2635 Ha/atom

DFT (PBE) results for a relaxed structure of CoOsRh.

Geometry as POSCAR:
```
CoOsRh
1.0
-1.873 -1.893 -0.250
2.550 -0.556 -0.588
1.011 -1.804 6.089
Rh Co Os
1 1 1
Direct
0.333 0.667 0.672
0.000 0.000 0.006
0.667 0.333 0.322
```

Computed properties:
Energy of formation from the pure elements: 0.37 eV/f.u.
Total moment: 1.299 μB per formula unit
Energy: -0.3101 Ha/atom
Energy above the lowest structure with this stoichiometry: 0.107 eV/f.u.

DFT (PBE) results for a relaxed structure of CoOs2Rh.

Geometry as POSCAR:
```
CoOs2Rh
1.0
-7.636 -3.854 1.869
-5.972 -5.604 3.096
-6.782 -3.369 4.394
Rh Os Co
1 2 1
Direct
0.497 0.497 0.497
0.251 0.251 0.251
0.002 0.002 0.002
0.750 0.750 0.750
```

Computed properties:
Energy of formation from the pure elements: 0.61 eV/f.u.
Total moment: 1.923 μB per formula unit
Energy: -0.3336 Ha/atom
Energy above the lowest structure with this stoichiometry: 0.169 eV/f.u.

DFT (PBE) results for a relaxed structure of CoOs2Rh.

Geometry as POSCAR:
```
CoOs2Rh
1.0
2.703 0.000 0.000
0.000 2.703 0.000
0.000 0.000 7.383
Rh Co Os
1 1 2
Direct
0.000 0.000 0.510
0.500 0.500 0.753
0.500 0.500 0.247
0.000 0.000 0.990
```

Computed properties:
Energy of formation from the pure elements: 0.51 eV/f.u.
Total moment: 1.442 μB per formula unit
Energy: -0.3345 Ha/atom
Energy above the lowest structure with this stoichiometry: 0.068 eV/f.u.

DFT (PBE) results for a relaxed structure of CoOsRh4.

Geometry as POSCAR:
```
CoOsRh4
1.0
4.649 -1.591 0.978
2.718 2.243 3.562
0.976 -2.398 4.289
Rh Co Os
4 1 1
Direct
0.375 0.375 0.875
0.875 0.375 0.375
0.375 0.875 0.375
0.375 0.375 0.375
0.750 0.750 0.750
0.000 0.000 0.000
```

Computed properties:
Energy of formation from the pure elements: 3.91 eV/f.u.
Total moment: 1.316 μB per formula unit
Energy: -0.2684 Ha/atom
Energy above the lowest structure with this stoichiometry: 3.459 eV/f.u.

DFT (PBE) results for a relaxed structure of CoOsRh4.

Geometry as POSCAR:
```
CoOsRh4
1.0
-1.263 6.442 3.200
-4.590 -0.569 -0.666
2.327 -1.926 4.797
Rh Co Os
8 2 2
Direct
0.846 0.081 0.634
0.661 0.084 0.127
0.154 0.919 0.366
0.161 0.416 0.873
0.654 0.581 0.634
0.346 0.419 0.366
0.839 0.584 0.127
0.339 0.916 0.873
0.500 0.500 0.000
0.000 0.000 0.000
0.000 0.500 0.500
0.500 0.000 0.500
```

Computed properties:
Energy of formation from the pure elements: 1.58 eV/f.u.
Total moment: 2.748 μB per formula unit
Energy: -0.2827 Ha/atom
Energy above the lowest structure with this stoichiometry: 1.125 eV/f.u.

DFT (PBE) results for a relaxed structure of CoOs2Rh.

Geometry as POSCAR:
```
CoOs2Rh
1.0
-0.116 -0.410 4.640
3.893 -2.005 1.593
-0.761 3.585 -2.878
Os Co Rh
2 1 1
Direct
0.000 0.000 0.000
0.500 0.500 0.000
0.750 0.250 0.500
0.250 0.750 0.500
```

Computed properties:
Energy of formation from the pure elements: 0.73 eV/f.u.
Total moment: 0.002 μB per formula unit
Energy: -0.3324 Ha/atom
Energy above the lowest structure with this stoichiometry: 0.293 eV/f.u.

DFT (PBE) results for a relaxed structure of CoOs2Rh.

Geometry as POSCAR:
```
CoOs2Rh
1.0
0.000 3.021 3.021
3.021 0.000 3.021
3.021 3.021 0.000
Os Rh Co
2 1 1
Direct
0.750 0.750 0.750
0.250 0.250 0.250
0.500 0.500 0.500
0.000 0.000 0.000
```

Computed properties:
Energy of formation from the pure elements: 2.35 eV/f.u.
Total moment: 2.118 μB per formula unit
Energy: -0.3176 Ha/atom
Energy above the lowest structure with this stoichiometry: 1.911 eV/f.u.

DFT (PBE) results for a relaxed structure of CoOs2Rh.

Geometry as POSCAR:
```
CoOs2Rh
1.0
-0.551 -2.071 1.560
-0.281 -0.273 -2.622
8.602 -2.768 -0.635
Os Co Rh
2 1 1
Direct
0.000 0.000 0.989
0.000 0.000 0.511
0.500 0.500 0.750
0.500 0.500 0.250
```

Computed properties:
Energy of formation from the pure elements: 1.84 eV/f.u.
Total moment: 2.214 μB per formula unit
Energy: -0.3222 Ha/atom
Energy above the lowest structure with this stoichiometry: 1.404 eV/f.u.

DFT (PBE) results for a relaxed structure of CoOs2Rh.

Geometry as POSCAR:
```
CoOs2Rh
1.0
4.641 0.002 0.000
-1.625 4.348 0.000
0.000 0.000 2.664
Os Co Rh
2 1 1
Direct
0.500 0.500 0.000
0.000 0.000 0.000
0.000 0.500 0.500
0.500 0.000 0.500
```

Computed properties:
Energy of formation from the pure elements: 0.79 eV/f.u.
Total moment: 0.553 μB per formula unit
Energy: -0.3319 Ha/atom
Energy above the lowest structure with this stoichiometry: 0.352 eV/f.u.

DFT (PBE) results for a relaxed structure of CoOs2Rh.

Geometry as POSCAR:
```
CoOs2Rh
1.0
3.786 0.000 0.000
0.000 2.665 -0.004
0.000 2.673 5.320
Rh Os Co
1 2 1
Direct
0.500 0.250 0.250
0.000 0.484 0.515
0.000 0.016 0.985
0.500 0.750 0.750
```

Computed properties:
Energy of formation from the pure elements: 0.66 eV/f.u.
Total moment: 0.741 μB per formula unit
Energy: -0.3331 Ha/atom
Energy above the lowest structure with this stoichiometry: 0.216 eV/f.u.

DFT (PBE) results for a relaxed structure of CoOs2Rh.

Geometry as POSCAR:
```
CoOs2Rh
1.0
-2.824 6.855 4.727
-5.110 5.439 4.651
-3.259 4.906 6.529
Os Rh Co
2 1 1
Direct
0.497 0.497 0.497
0.003 0.003 0.003
0.250 0.250 0.250
0.750 0.750 0.750
```

Computed properties:
Energy of formation from the pure elements: 0.65 eV/f.u.
Total moment: 1.466 μB per formula unit
Energy: -0.3332 Ha/atom
Energy above the lowest structure with this stoichiometry: 0.210 eV/f.u.

DFT (PBE) results for a relaxed structure of CoOsRh.

Geometry as POSCAR:
```
CoOsRh
1.0
-4.013 0.155 2.196
-2.720 -3.680 0.114
4.131 1.707 0.988
Os Co Rh
1 1 1
Direct
0.341 0.341 0.000
0.993 0.993 0.000
0.666 0.666 0.000
```

Computed properties:
Energy of formation from the pure elements: 0.27 eV/f.u.
Total moment: 0.010 μB per formula unit
Energy: -0.3114 Ha/atom
Energy above the lowest structure with this stoichiometry: 0.000 eV/f.u.

DFT (PBE) results for a relaxed structure of CoOs2Rh.

Geometry as POSCAR:
```
CoOs2Rh
1.0
5.334 0.000 0.000
0.000 5.334 0.000
2.667 2.667 5.405
Co Os Rh
2 4 2
Direct
0.500 0.500 0.000
0.250 0.750 0.500
0.601 0.125 0.250
0.875 0.851 0.750
0.149 0.625 0.250
0.375 0.399 0.750
0.000 0.000 0.000
0.750 0.250 0.500
```

Computed properties:
Energy of formation from the pure elements: 5.31 eV/f.u.
Total moment: 0.000 μB per formula unit
Energy: -0.2904 Ha/atom
Energy above the lowest structure with this stoichiometry: 4.871 eV/f.u.

DFT (PBE) results for a relaxed structure of Co4OsRh.

Geometry as POSCAR:
```
Co4OsRh
1.0
0.000 3.311 3.311
3.311 0.000 3.311
3.311 3.311 0.000
Co Os Rh
4 1 1
Direct
0.375 0.875 0.375
0.375 0.375 0.375
0.875 0.375 0.375
0.375 0.375 0.875
0.750 0.750 0.750
0.000 0.000 0.000
```

Computed properties:
Energy of formation from the pure elements: 1.18 eV/f.u.
Total moment: 7.853 μB per formula unit
Energy: -0.2807 Ha/atom

DFT (PBE) results for a relaxed structure of CoOs2Rh.

Geometry as POSCAR:
```
CoOs2Rh
1.0
4.614 -0.002 0.007
3.835 2.564 0.007
0.789 0.239 4.556
Co Os Rh
1 2 1
Direct
0.250 0.250 0.250
0.503 0.503 0.491
0.997 0.997 0.009
0.750 0.750 0.750
```

Computed properties:
Energy of formation from the pure elements: 0.60 eV/f.u.
Total moment: 0.642 μB per formula unit
Energy: -0.3336 Ha/atom
Energy above the lowest structure with this stoichiometry: 0.162 eV/f.u.